K2HoMoO6 | PBE+U | relaxed

Lattice parameters (Å, degrees): 10.685 10.685 10.685 33.45 33.45 33.45
Fractional coordinates of all 20 atoms:
K (0.136, 0.136, 0.136)
K (0.270, 0.270, 0.270)
K (0.730, 0.730, 0.730)
K (0.864, 0.864, 0.864)
Ho (0.402, 0.402, 0.402)
Ho (0.598, 0.598, 0.598)
Mo (0.000, 0.000, 0.000)
Mo (0.500, 0.500, 0.500)
O (0.173, 0.604, 0.604)
O (0.186, 0.186, 0.738)
O (0.186, 0.738, 0.186)
O (0.262, 0.814, 0.814)
O (0.396, 0.396, 0.827)
O (0.396, 0.827, 0.396)
O (0.604, 0.173, 0.604)
O (0.604, 0.604, 0.173)
O (0.738, 0.186, 0.186)
O (0.814, 0.262, 0.814)
O (0.814, 0.814, 0.262)
O (0.827, 0.396, 0.396)

- V: 16.50 Å³/atom
- SG: R-3m (166)
- Electronic total energy: -6.367 eV/atom
- M_tot: 2.131 μB/cell